Compound: NdCoC2O8
Source: the Alexandria database
Functional: GGA+U
Structure: relaxed

Computed properties:
**Total magnetization**: 2.0 μB/f.u.
**Final energy**: -6.932 eV/atom
**SG**: No. 164

Structure (CIF):
```
data_NdCoC2O8
_chemical_formula_sum 'Nd1 Co1 C2 O8'
_cell_length_a 4.730
_cell_length_b 4.730
_cell_length_c 6.766
_cell_angle_alpha 90.00
_cell_angle_beta 90.00
_cell_angle_gamma 120.00
_symmetry_space_group_name_H-M 'P 1'
_symmetry_Int_Tables_number 1
loop_
_symmetry_equiv_pos_as_xyz
'x,y,z'
loop_
_atom_site_label
_atom_site_type_symbol
_atom_site_fract_x
_atom_site_fract_y
_atom_site_fract_z
Nd1 Nd 0.000 0.000 0.000
Co1 Co 0.000 0.000 0.500
C1 C 0.333 0.667 0.255
C2 C 0.667 0.333 0.745
O1 O 0.171 0.342 0.310
O2 O 0.171 0.829 0.310
O3 O 0.333 0.667 0.049
O4 O 0.342 0.171 0.690
O5 O 0.658 0.829 0.310
O6 O 0.667 0.333 0.951
O7 O 0.829 0.171 0.690
O8 O 0.829 0.658 0.690
```